[1]
DFT (PBE-GGA) results for a relaxed NpNb2N4 crystal.

Output
E: -10.50 eV/atom
uncorrected formation energy: -1.02 eV/atom

abc: 5.3857 5.3857 10.3236
angles: 90.00 90.00 145.97
Last column: nearest neighbours and their distance in Å.
Positions (direct):
Np 0.1123 0.8877 0.7500  6 N 2.31-2.42
Np 0.8877 0.1123 0.2500  6 N 2.31-2.42
Nb 0.3708 0.6292 0.5638  6 N 2.08-2.20
Nb 0.3708 0.6292 0.9362  6 N 2.08-2.20
Nb 0.6292 0.3708 0.0638  6 N 2.08-2.20
Nb 0.6292 0.3708 0.4362  6 N 2.08-2.20
N 0.0000 0.0000 0.0000  4 Nb 2.17
N 0.0000 0.0000 0.5000  4 Nb 2.17
N 0.2673 0.7327 0.1189  3 Nb 2.17-2.20, 2 Np 2.42
N 0.2673 0.7327 0.3811  3 Nb 2.17-2.20, 2 Np 2.42
N 0.4487 0.5513 0.7500  2 Nb 2.08, 2 Np 2.31
N 0.5513 0.4487 0.2500  2 Nb 2.08, 2 Np 2.31
N 0.7327 0.2673 0.6189  3 Nb 2.17-2.20, 2 Np 2.42
N 0.7327 0.2673 0.8811  3 Nb 2.17-2.20, 2 Np 2.42


[2]
DFT (PBE-GGA) results for a relaxed NpNb4N6 crystal.

Output
E: -10.40 eV/atom
uncorrected formation energy: -1.02 eV/atom

abc: 5.4135 5.4135 15.5094
angles: 90.00 90.00 146.08
Last column: nearest neighbours and their distance in Å.
Positions (direct):
Np 0.1620 0.8380 0.7500  6 N 2.29-2.44
Np 0.8380 0.1620 0.2500  6 N 2.29-2.44
Nb 0.0981 0.9019 0.1281  6 N 2.06-2.23
Nb 0.0981 0.9019 0.3719  6 N 2.06-2.23
Nb 0.3535 0.6465 0.0419  6 N 2.16-2.34
Nb 0.3535 0.6465 0.4581  6 N 2.16-2.34
Nb 0.6465 0.3535 0.5419  6 N 2.16-2.34
Nb 0.6465 0.3535 0.9581  6 N 2.16-2.34
Nb 0.9019 0.0981 0.6281  6 N 2.06-2.23
Nb 0.9019 0.0981 0.8719  6 N 2.06-2.23
N 0.0000 0.0000 0.0000  6 Nb 2.23-2.28
N 0.0000 0.0000 0.5000  6 Nb 2.23-2.28
N 0.1780 0.8220 0.2500  2 Nb 2.06, 2 Np 2.29
N 0.2633 0.7367 0.5964  5 Nb 2.16-2.34
N 0.2633 0.7367 0.9036  5 Nb 2.16-2.34
N 0.4615 0.5385 0.1626  3 Nb 2.18-2.19
N 0.4615 0.5385 0.3374  3 Nb 2.18-2.19
N 0.5385 0.4615 0.6626  3 Nb 2.18-2.19
N 0.5385 0.4615 0.8374  3 Nb 2.18-2.19
N 0.7367 0.2633 0.0964  5 Nb 2.16-2.34
N 0.7367 0.2633 0.4036  5 Nb 2.16-2.34
N 0.8220 0.1780 0.7500  2 Nb 2.06, 2 Np 2.29


[3]
DFT (PBE-GGA) results for a relaxed NpNbN crystal.

Output
ΔE to the lowest computed polymorph: 394 meV per atom
E: -10.63 eV/atom
uncorrected formation energy: -0.19 eV/atom

abc: 2.9831 2.9831 11.9047
angles: 90.00 90.00 90.00
Last column: nearest neighbours and their distance in Å.
Positions (direct):
Np 0.0000 0.0000 0.0000  1 N 2.70, 4 Np 2.98
Np 0.5000 0.5000 0.5000  1 N 2.70, 4 Np 2.98
Nb 0.0000 0.0000 0.2993  4 N 2.13
Nb 0.5000 0.5000 0.7993  4 N 2.13
N 0.0000 0.0000 0.7735  4 Nb 2.13
N 0.5000 0.5000 0.2735  4 Nb 2.13


[4]
DFT (PBE-GGA) results for a relaxed Np4NbN5 crystal.

Output
E: -11.48 eV/atom
uncorrected formation energy: -1.14 eV/atom

abc: 5.8401 5.8401 5.8401
angles: 99.69 99.69 131.56
Last column: nearest neighbours and their distance in Å.
Positions (direct):
Np 0.1008 0.7024 0.8031  6 N 2.37-2.47
Np 0.2976 0.1008 0.3984  6 N 2.37-2.47
Np 0.7024 0.8992 0.6016  6 N 2.37-2.47
Np 0.8992 0.2976 0.1969  6 N 2.37-2.47
Nb 0.5000 0.5000 0.0000  6 N 2.31-2.40
N 0.0000 0.0000 0.0000  4 Np 2.37, 2 Nb 2.40
N 0.2093 0.4036 0.6129  1 Nb 2.31, 5 Np 2.38-2.47
N 0.4036 0.7907 0.1944  1 Nb 2.31, 5 Np 2.38-2.47
N 0.5964 0.2093 0.8056  1 Nb 2.31, 5 Np 2.38-2.47
N 0.7907 0.5964 0.3871  1 Nb 2.31, 5 Np 2.38-2.47


[5]
DFT (PBE-GGA) results for a relaxed NpNbN3 crystal.

Output
E: -10.42 eV/atom
uncorrected formation energy: -0.82 eV/atom

abc: 6.4418 6.4418 6.5785
angles: 100.32 100.32 31.27
Last column: nearest neighbours and their distance in Å.
Positions (direct):
Np 0.1219 0.1219 0.3879  6 N 2.16-2.40
Np 0.8781 0.8781 0.6121  6 N 2.16-2.40
Nb 0.3449 0.3449 0.1505  4 N 2.00-2.21
Nb 0.6551 0.6551 0.8495  4 N 2.00-2.21
N 0.0580 0.0580 0.7102  2 Np 2.21-2.40, 2 Nb 2.21
N 0.1769 0.1769 0.0716  3 Nb 2.05-2.25
N 0.3123 0.3123 0.4365  1 Nb 2.00, 2 Np 2.16
N 0.6877 0.6877 0.5635  1 Nb 2.00, 2 Np 2.16
N 0.8231 0.8231 0.9284  3 Nb 2.05-2.25
N 0.9420 0.9420 0.2898  2 Np 2.21-2.40, 2 Nb 2.21


[6]
DFT (PBE-GGA) results for a relaxed Np5NbN6 crystal.

Output
E: -11.54 eV/atom
uncorrected formation energy: -1.15 eV/atom

abc: 5.8632 5.8632 5.8615
angles: 99.57 99.57 119.94
Last column: nearest neighbours and their distance in Å.
Positions (direct):
Np 0.0000 0.0000 0.0000  6 N 2.40-2.47
Np 0.1665 0.8335 0.5000  6 N 2.39-2.40
Np 0.3341 0.6659 0.0000  6 N 2.38-2.49
Np 0.6659 0.3341 0.0000  6 N 2.38-2.49
Np 0.8335 0.1665 0.5000  6 N 2.39-2.40
Nb 0.5000 0.5000 0.5000  6 N 2.31-2.32
N 0.0981 0.4202 0.2597  1 Nb 2.31, 5 Np 2.39-2.49
N 0.2594 0.2594 0.7438  1 Nb 2.32, 5 Np 2.38-2.47
N 0.4202 0.0981 0.2597  1 Nb 2.31, 5 Np 2.39-2.49
N 0.5798 0.9019 0.7403  1 Nb 2.31, 5 Np 2.39-2.49
N 0.7406 0.7406 0.2562  1 Nb 2.32, 5 Np 2.38-2.47
N 0.9019 0.5798 0.7403  1 Nb 2.31, 5 Np 2.39-2.49